{
  "formula": "PmHo2TmSc2",
  "functional": "PBE",
  "state": "optimized geometry",
  "space_group": "Pnnm, No. 58",
  "e_tot_ev_per_fu": -30.6,
  "crystal_system": "orthorhombic",
  "lattice": [[6.768, 0.000, 0.000], [0.000, 9.462, 0.000], [0.000, 0.000, 5.448]],
  "species": ["Pm", "Pm", "Ho", "Ho", "Ho", "Ho", "Tm", "Tm", "Sc", "Sc", "Sc", "Sc"],
  "frac_coords": [[0.000, 0.000, 0.000], [0.500, 0.500, 0.500], [0.247, 0.334, 0.000], [0.253, 0.834, 0.500], [0.747, 0.166, 0.500], [0.753, 0.666, 0.000], [0.000, 0.500, 0.500], [0.500, 0.000, 0.000], [0.249, 0.167, 0.500], [0.251, 0.667, 0.000], [0.749, 0.333, 0.000], [0.751, 0.833, 0.500]]
}